Below is a relaxed structure of LaSbRh2, with properties calculated at the PBEsol level. Values from VASP.

```
&SYSTEM
  ibrav = 0, nat = 4, ntyp = 3
/
ATOMIC_SPECIES
Sb 121.76 Sb.upf
Rh 102.91 Rh.upf
La 138.91 La.upf
CELL_PARAMETERS angstrom
-1.8692 -2.5725 3.1383
1.8531 -0.2783 4.0557
-2.6735 2.7884 3.8736
ATOMIC_POSITIONS angstrom
Sb 0.0000 0.0000 0.0000
Rh -2.3583 0.4313 8.4894
Rh -0.3312 -0.4937 2.5782
La -1.3448 -0.0312 5.5338
```

Output
- SG: R-3m
- Uncorrected formation energy: -0.719 eV/atom
- Total energy: -7.264 eV per atom
- Theoretical density: 9.29 Mg/m³



Below is a relaxed structure of LaSbRh2, with properties calculated at the PBEsol level. Values from VASP.

```
&SYSTEM
  ibrav = 0, nat = 4, ntyp = 3
/
ATOMIC_SPECIES
La 138.91 La.upf
Rh 102.91 Rh.upf
Sb 121.76 Sb.upf
CELL_PARAMETERS angstrom
3.5124 0.0000 0.0000
0.0000 3.5113 0.0545
0.0000 -0.0817 6.3924
ATOMIC_POSITIONS angstrom
La 1.7562 1.7557 0.0273
Rh 0.0000 3.4502 4.6688
Rh 0.0000 -0.0206 1.7781
Sb 1.7562 1.7148 3.2234
```

Output
- SG: P2/m
- Uncorrected formation energy: -0.402 eV/atom
- Total energy: -6.947 eV per atom
- Theoretical density: 9.82 Mg/m³